Record 1
A plane-wave DFT calculation with GGA-PBE was carried out for an optimized crystal structure of ZnSnHg2.

Values from the calculation:
* SG: No. 123
* ΔH_f (0 K): 136 meV per atom

a b c (Å): 4.5036 4.5643 4.5643
angles (deg): 90.00 90.00 90.00
Element x y z (fractional)
1 Hg 0.0000 0.0000 0.5000
2 Hg 0.0000 0.5000 0.0000
3 Sn 0.5000 0.0000 0.0000
4 Zn 0.5000 0.5000 0.5000

=====

Record 2
A plane-wave DFT calculation with GGA-PBE was carried out for an optimized crystal structure of Y2ZrScH.

Values from the calculation:
* final energy: -6.33 eV per atom
* SG: No. 123

a b c (Å): 4.8026 4.8026 4.7220
angles (deg): 90.00 90.00 90.00
Element x y z (fractional)
1 H 0.0000 0.0000 0.0000
2 Y 0.5000 0.0000 0.0000
3 Y 0.0000 0.5000 0.0000
4 Sc 0.0000 0.0000 0.5000
5 Zr 0.5000 0.5000 0.5000

=====

Record 3
A plane-wave DFT calculation with GGA-PBE was carried out for an optimized crystal structure of BaAg2Pb9.

Values from the calculation:
* SG: No. 141
* ΔH_f (0 K): -68 meV per atom

a b c (Å): 8.9137 10.2542 10.2542
angles (deg): 79.11 64.24 64.24
Element x y z (fractional)
1 Pb 0.0675 0.9303 0.3217
2 Pb 0.0021 0.9303 0.6783
3 Pb 0.1392 0.4303 0.1783
4 Pb 0.7479 0.5697 0.8217
5 Pb 0.4304 0.4303 0.8217
6 Pb 0.0000 0.0000 0.0000
7 Pb 0.6825 0.1783 0.5697
8 Pb 0.3196 0.0697 0.6783
9 Pb 0.6825 0.5697 0.1783
10 Pb 0.7479 0.8217 0.5697
11 Pb 0.7500 0.5000 0.5000
12 Pb 0.6108 0.3217 0.0697
13 Pb 0.4304 0.8217 0.4303
14 Pb 0.6108 0.0697 0.3217
15 Pb 0.1392 0.1783 0.4303
16 Pb 0.0021 0.6783 0.9303
17 Pb 0.3196 0.6783 0.0697
18 Pb 0.0675 0.3217 0.9303
19 Ag 0.8750 0.2500 0.7500
20 Ag 0.8750 0.7500 0.2500
21 Ag 0.8750 0.2500 0.2500
22 Ag 0.3750 0.7500 0.7500
23 Ba 0.5000 0.0000 0.0000
24 Ba 0.2500 0.5000 0.5000

=====

Record 4
A plane-wave DFT calculation with GGA-PBE was carried out for an optimized crystal structure of Pr3InSb4.

Values from the calculation:
* SG: No. 221
* E_form (uncorrected): -0.795 eV per atom

a b c (Å): 6.4273 6.4273 6.4273
angles (deg): 90.00 90.00 90.00
Element x y z (fractional)
1 Pr 0.5000 0.5000 0.0000
2 Pr 0.0000 0.5000 0.5000
3 Pr 0.5000 0.0000 0.5000
4 In 0.0000 0.0000 0.0000
5 Sb 0.0000 0.0000 0.5000
6 Sb 0.0000 0.5000 0.0000
7 Sb 0.5000 0.5000 0.5000
8 Sb 0.5000 0.0000 0.0000

=====

Record 5
A plane-wave DFT calculation with GGA-PBE was carried out for an optimized crystal structure of NaFe2Ru.

Values from the calculation:
* SG: No. 122
* ΔH_f (0 K): 1142 meV per atom

a b c (Å): 6.8106 6.8106 5.4985
angles (deg): 51.73 51.73 90.00
Element x y z (fractional)
1 Ru 0.7500 0.2500 0.5000
2 Ru 0.0000 0.0000 0.0000
3 Fe 0.8750 0.9281 0.7500
4 Fe 0.0719 0.6250 0.2500
5 Fe 0.6781 0.1250 0.2500
6 Fe 0.3750 0.3219 0.7500
7 Na 0.2500 0.7500 0.5000
8 Na 0.5000 0.5000 0.0000

=====

Record 6
A plane-wave DFT calculation with GGA-PBE was carried out for an optimized crystal structure of NaZrSe4.

Values from the calculation:
* SG: No. 15
* E_form (uncorrected): -0.881 eV per atom

a b c (Å): 7.0056 7.9884 7.3823
angles (deg): 119.38 114.65 96.10
Element x y z (fractional)
1 Se 0.4065 0.6784 0.8773
2 Se 0.3378 0.9908 0.6621
3 Se 0.5935 0.3216 0.1227
4 Se 0.8243 0.6713 0.6621
5 Se 0.0292 0.8012 0.1227
6 Se 0.1757 0.3287 0.3379
7 Se 0.6622 0.0092 0.3379
8 Se 0.9708 0.1988 0.8773
9 Zr 0.7485 0.9985 0.9970
10 Zr 0.2515 0.0015 0.0030
11 Na 0.6217 0.3717 0.7434
12 Na 0.3783 0.6283 0.2566

=====

| no. | N(E_F) (states/eV per cell) |
| --- | --- |
| 1 | 2.1 |
| 2 | 5.6 |
| 3 | 10.8 |
| 4 | 3.3 |
| 5 | 9.9 |
| 6 | 5.2 |